# Mn3TlCu

A relaxed Mn3TlCu crystal (PBE, the Alexandria database).

Lattice parameters (Å, degrees): 4.6141 4.6141 4.6141 90.00 90.00 90.00
Closest atoms and distances in Å follow each position.
Space group Pm-3m (No. 221)
Inequivalent atoms, fractional coordinates:
Mn  0.0000  0.0000  0.5000  2 Cu 2.31
Tl  0.5000  0.5000  0.5000  12 Mn 3.26
Cu  0.0000  0.0000  0.0000  6 Mn 2.31

Values from the calculation:
ΔE_f	0.801	eV per atom
offset from the most stable computed form	0.000	eV per atom
total DFT energy (no corrections)	-5.993	eV per atom
crystal system	cubic